VASP calculation (GGA-PBE) on crystalline Ga2CoNi at its relaxed geometry.

The structure belongs to space group R3m (No. 160, hexagonal axes); the cell edges are 3.7887, 3.7887 and 13.5150 Å and the angles 90.00°, 90.00° and 120.00°. The distinct sites, in fractional coordinates, are Ga at (0.0000, 0.0000, 0.0000), Ga at (0.0000, 0.0000, 0.1872), Co at (0.0000, 0.0000, 0.7770) and Ni at (0.0000, 0.0000, 0.5864).

For the density of states at the Fermi level, the calculation gives 0.60 states/eV per atom. The value obtained for the formation enthalpy at 0 K is -7 kJ per mole of atoms. As for the total magnetic moment: 0.00 μB/f.u.